(1)
A relaxed structure of SrRePd2. Source: the Alexandria database, functional GGA-PBE.

Values from the calculation:
The calculation puts the total magnetization at 3.282 μB per cell. The space group is Fm-3m (225). Its density of states at the Fermi level is 0.869 states/eV/atom. The formation energy is 507 meV/atom.

Cell and atoms, written as extended XYZ:
```
4
Lattice="0.000 3.410 3.410 3.410 0.000 3.410 3.410 3.410 0.000" Properties=species:S:1:pos:R:3 pbc="T T T"
Re 3.410 3.410 3.410
Pd 1.705 1.705 1.705
Pd 5.115 5.115 5.115
Sr 0.000 0.000 0.000
```

---

(2)
A relaxed structure of SrRe3Pd. Source: the Alexandria database, functional GGA-PBE.

Values from the calculation:
The calculation puts the total magnetization at 0.004 μB per cell. The space group is Pm-3m (221). Its density of states at the Fermi level is 2.229 states/eV/atom. The formation energy is 2154 meV/atom.

Cell and atoms, written as extended XYZ:
```
5
Lattice="-3.436 1.853 2.855 2.455 -1.462 3.903 2.359 4.222 0.098" Properties=species:S:1:pos:R:3 pbc="T T T"
Re 1.227 -0.731 1.952
Re 1.179 2.111 0.049
Re -1.718 0.927 1.428
Pd 0.000 0.000 0.000
Sr 0.689 2.307 3.428
```

---

(3)
A relaxed structure of SrRePd3. Source: the Alexandria database, functional GGA-PBE.

Values from the calculation:
The calculation puts the total magnetization at 4.665 μB per cell. The space group is Pm-3m (221). Its density of states at the Fermi level is 1.019 states/eV/atom. The formation energy is 1835 meV/atom.

Cell and atoms, written as extended XYZ:
```
5
Lattice="5.042 0.000 0.000 0.000 5.042 0.000 0.000 0.000 5.042" Properties=species:S:1:pos:R:3 pbc="T T T"
Re 2.521 2.521 2.521
Pd 0.000 2.521 0.000
Pd 0.000 0.000 2.521
Pd 2.521 0.000 0.000
Sr 0.000 0.000 0.000
```

---

(4)
A relaxed structure of Sr2TaRePd. Source: the Alexandria database, functional GGA-PBE.

Values from the calculation:
The calculation puts the total magnetization at 0.003 μB per cell. The space group is P4/mmm (123). Its density of states at the Fermi level is 3.116 states/eV/atom. The formation energy is 2061 meV/atom.

Cell and atoms, written as extended XYZ:
```
5
Lattice="-4.793 3.167 -0.407 -2.333 -3.206 2.524 1.423 2.775 4.841" Properties=species:S:1:pos:R:3 pbc="T T T"
Re -2.852 1.368 3.479
Sr 0.711 1.388 2.421
Sr -2.396 1.583 -0.204
Pd -1.166 -1.603 1.262
Ta 0.000 0.000 0.000
```

---

(5)
A relaxed structure of Sr2ReTcPd. Source: the Alexandria database, functional GGA-PBE.

Values from the calculation:
The calculation puts the total magnetization at 0.883 μB per cell. The space group is P4/mmm (123). Its density of states at the Fermi level is 1.231 states/eV/atom. The formation energy is 1017 meV/atom.

Cell and atoms, written as extended XYZ:
```
5
Lattice="-1.333 -4.778 2.938 3.878 -1.954 -1.418 2.740 2.080 4.626" Properties=species:S:1:pos:R:3 pbc="T T T"
Re 1.939 -0.977 -0.709
Tc 0.000 0.000 0.000
Pd 2.643 -2.326 3.073
Sr 1.370 1.040 2.313
Sr -0.666 -2.389 1.469
```

---

(6)
A relaxed structure of SrReTe2Pd. Source: the Alexandria database, functional GGA-PBE.

Values from the calculation:
As for the energy relative to the elements, uncorrected: 1.5396 eV/atom. The calculation puts the total magnetization at 4.894 μB per cell. The space group is P4/mmm (123). Its density of states at the Fermi level is 0.582 states/eV/atom.

Cell and atoms, written as extended XYZ:
```
5
Lattice="-3.590 -1.714 -4.602 -3.589 -1.460 3.343 -2.432 5.573 -0.178" Properties=species:S:1:pos:R:3 pbc="T T T"
Re -4.806 1.200 -0.718
Te -1.216 2.786 -0.089
Te -1.795 -0.857 -2.301
Pd -1.795 -0.730 1.672
Sr 0.000 0.000 0.000
```